1.
A geometry-optimized LiTmF2 structure, computed with GGA-PBE.

Geometry as POSCAR:
```
LiTmF2
1.0
-3.396 3.396 6.087
3.396 -3.396 6.087
3.396 3.396 -6.087
Li Tm F
4 4 8
Direct
0.875 0.625 0.750
0.875 0.125 0.250
0.375 0.125 0.250
0.875 0.125 0.750
0.375 0.125 0.750
0.375 0.625 0.250
0.875 0.625 0.250
0.375 0.625 0.750
0.639 0.435 0.204
0.231 0.435 0.796
0.185 0.481 0.296
0.111 0.815 0.296
0.185 0.889 0.704
0.519 0.815 0.704
0.565 0.769 0.204
0.565 0.361 0.796
```

Summary:
calculated density = 5.06 g/cm3
formation energy (no corrections) = -2349.4 meV/atom
raw total energy = -4.881 eV per atom

***

2.
A geometry-optimized GeAsH2Se structure, computed with GGA-PBE.

Geometry as POSCAR:
```
GeAsH2Se
1.0
-3.701 -0.914 0.464
-2.179 -1.211 -4.025
-0.431 -6.588 -0.447
Ge As H Se
1 1 2 1
Direct
0.211 0.586 0.909
0.661 0.884 0.711
0.433 0.202 0.846
0.329 0.697 0.282
0.045 0.541 0.304
```

Summary:
energy above the most stable polymorph in this dataset = 53 kJ/mol of formula units
calculated density = 3.73 g/cm3
raw total energy = -3.756 eV per atom

***

3.
A geometry-optimized BIrSe2Br structure, computed with GGA-PBE.

Geometry as POSCAR:
```
BIrSe2Br
1.0
4.464 0.000 0.000
0.000 4.464 0.000
0.000 0.000 4.286
B Ir Se Br
1 1 2 1
Direct
0.000 0.000 0.000
0.500 0.500 0.500
0.000 0.500 0.000
0.500 0.000 0.000
0.000 0.000 0.500
```

Summary:
energy above the most stable polymorph in this dataset = 0 kJ/mol of formula units
calculated density = 8.57 g/cm3
formation energy (no corrections) = 1236.2 meV/atom
raw total energy = -3.600 eV per atom

***

4.
A geometry-optimized SeS6I structure, computed with GGA-PBE.

Geometry as POSCAR:
```
SeS6I
1.0
6.036 1.688 -2.018
1.237 6.144 -2.018
-1.159 -1.248 8.075
Se S I
1 6 1
Direct
0.000 0.000 0.500
0.571 0.057 0.300
0.057 0.571 0.300
0.943 0.429 0.700
0.429 0.943 0.700
0.309 0.309 0.838
0.691 0.691 0.162
0.000 0.000 0.000
```

Summary:
calculated density = 2.54 g/cm3
formation energy (no corrections) = 251.1 meV/atom
raw total energy = -3.474 eV per atom

***

5.
A geometry-optimized PmZrZnN3 structure, computed with GGA-PBE.

Geometry as POSCAR:
```
PmZrZnN3
1.0
3.335 0.000 0.000
0.000 6.942 0.944
0.000 -2.384 7.101
Pm Zr Zn N
2 2 2 6
Direct
0.250 0.185 0.222
0.750 0.815 0.778
0.250 0.658 0.140
0.750 0.342 0.860
0.250 0.119 0.592
0.750 0.881 0.408
0.750 0.868 0.134
0.250 0.132 0.866
0.250 0.798 0.524
0.750 0.202 0.476
0.750 0.432 0.143
0.250 0.568 0.857
```

Summary:
calculated density = 6.64 g/cm3
formation energy (no corrections) = -939.2 meV/atom
raw total energy = -7.531 eV per atom

***

6.
A geometry-optimized DyThIn structure, computed with GGA-PBE.

Geometry as POSCAR:
```
DyThIn
1.0
-2.237 -4.134 1.544
0.885 -1.956 -3.955
13.753 -5.311 5.703
Th Dy In
4 4 4
Direct
0.250 0.500 0.073
0.750 0.000 0.427
0.250 0.000 0.573
0.750 0.500 0.927
0.750 0.499 0.243
0.250 0.999 0.257
0.750 0.001 0.743
0.250 0.501 0.757
0.750 0.000 0.099
0.250 0.500 0.401
0.750 0.500 0.599
0.250 0.000 0.901
```

Summary:
energy above the most stable polymorph in this dataset = 15 kJ/mol of formula units
calculated density = 9.61 g/cm3
E_form = -0.218 eV per atom
raw total energy = -5.138 eV per atom

***

7.
A geometry-optimized CsK5I6 structure, computed with GGA-PBE.

Geometry as POSCAR:
```
CsK5I6
1.0
8.817 0.225 1.345
2.175 7.477 4.360
0.152 0.076 8.927
Cs I K
1 6 5
Direct
0.000 0.000 0.000
0.742 0.086 0.348
0.258 0.566 0.348
0.258 0.262 0.000
0.742 0.738 0.000
0.742 0.434 0.652
0.258 0.914 0.652
0.500 0.163 0.674
0.000 0.333 0.334
0.500 0.500 0.000
0.000 0.667 0.666
0.500 0.837 0.326
```

Summary:
calculated density = 3.12 g/cm3
formation energy (no corrections) = -1487.9 meV/atom
raw total energy = -2.791 eV per atom

***

8.
A geometry-optimized Mg2SeO structure, computed with GGA-PBE.

Geometry as POSCAR:
```
Mg2SeO
1.0
5.454 0.000 0.000
0.000 5.454 0.000
2.727 2.727 4.857
Mg O Se
4 2 2
Direct
0.537 0.125 0.250
0.213 0.625 0.250
0.375 0.463 0.750
0.875 0.787 0.750
0.500 0.500 0.000
0.250 0.750 0.500
0.000 0.000 0.000
0.750 0.250 0.500
```

Summary:
energy above the most stable polymorph in this dataset = 31 kJ/mol of formula units
calculated density = 3.30 g/cm3
formation energy (no corrections) = -1843.6 meV/atom
raw total energy = -4.752 eV per atom

***

9.
A geometry-optimized Li3NbO structure, computed with GGA-PBE.

Geometry as POSCAR:
```
Li3NbO
1.0
5.203 0.000 0.000
0.000 5.203 0.000
0.000 0.000 5.203
Nb O Li
1 1 3
Direct
0.000 0.000 0.000
0.500 0.500 0.500
0.000 0.500 0.000
0.000 0.000 0.500
0.500 0.000 0.000
```

Summary:
energy above the most stable polymorph in this dataset = 756 kJ/mol of formula units
calculated density = 1.53 g/cm3
formation energy (no corrections) = 1514.3 meV/atom
raw total energy = -2.640 eV per atom

***

10.
A geometry-optimized AlPPb2 structure, computed with GGA-PBE.

Geometry as POSCAR:
```
AlPPb2
1.0
6.090 -0.024 0.000
3.028 5.284 0.000
-4.559 -2.630 3.064
Pb P Al
2 1 1
Direct
0.000 0.000 0.000
0.250 0.750 0.500
0.750 0.250 0.500
0.500 0.500 0.000
```

Summary:
energy above the most stable polymorph in this dataset = 134 kJ/mol of formula units
calculated density = 7.94 g/cm3
E_form = 0.342 eV per atom
raw total energy = -3.800 eV per atom

***

11.
A geometry-optimized In2HgSb structure, computed with GGA-PBE.

Geometry as POSCAR:
```
In2HgSb
1.0
5.818 0.075 -0.024
4.829 3.245 -0.024
1.035 0.323 5.843
Hg In Sb
1 2 1
Direct
0.250 0.250 0.250
0.000 0.000 0.005
0.500 0.500 0.495
0.750 0.750 0.750
```

Summary:
energy above the most stable polymorph in this dataset = 20 kJ/mol of formula units
calculated density = 8.47 g/cm3
formation energy (no corrections) = 54.9 meV/atom
raw total energy = -2.420 eV per atom

***

12.
A geometry-optimized TcAg2O5 structure, computed with GGA-PBE.

Geometry as POSCAR:
```
TcAg2O5
1.0
7.584 0.000 2.804
3.121 7.155 3.217
0.460 -0.048 10.414
Tc Ag O
4 8 20
Direct
0.875 0.041 0.303
0.218 0.459 0.197
0.782 0.541 0.803
0.125 0.959 0.697
0.555 0.073 0.670
0.651 0.098 0.997
0.746 0.402 0.503
0.702 0.573 0.170
0.298 0.427 0.830
0.254 0.598 0.497
0.349 0.902 0.003
0.445 0.927 0.330
0.856 0.005 0.155
0.323 0.975 0.551
0.912 0.127 0.644
0.397 0.235 0.245
0.877 0.265 0.255
0.451 0.128 0.879
0.458 0.372 0.621
0.017 0.495 0.345
0.151 0.475 0.051
0.683 0.373 0.856
0.317 0.627 0.144
0.849 0.525 0.949
0.983 0.505 0.655
0.542 0.628 0.379
0.549 0.872 0.121
0.123 0.735 0.745
0.603 0.765 0.755
0.088 0.873 0.356
0.677 0.025 0.449
0.144 0.995 0.845
```

Summary:
energy above the most stable polymorph in this dataset = 0 kJ/mol of formula units
calculated density = 4.70 g/cm3
formation energy (no corrections) = -745.2 meV/atom
raw total energy = -5.853 eV per atom

***

13.
A geometry-optimized Sr2CaHg6 structure, computed with GGA-PBE.

Geometry as POSCAR:
```
Sr2CaHg6
1.0
-2.335 0.435 2.948
2.854 -7.622 3.384
4.050 7.543 2.095
Sr Ca Hg
2 1 6
Direct
0.000 0.333 0.667
0.000 0.667 0.333
0.000 0.000 0.000
0.500 0.331 0.331
0.500 0.669 0.669
0.500 0.000 0.669
0.500 0.669 0.000
0.500 0.331 0.000
0.500 0.000 0.331
```

Summary:
calculated density = 9.25 g/cm3
E_form = -0.468 eV per atom
raw total energy = -1.265 eV per atom

***

14.
A geometry-optimized PmZrTl2S4 structure, computed with GGA-PBE.

Geometry as POSCAR:
```
PmZrTl2S4
1.0
3.854 0.000 0.000
0.000 6.827 0.250
0.000 -2.209 7.774
Pm Zr Tl S
1 1 2 4
Direct
0.000 0.000 0.000
0.500 0.500 0.000
0.500 0.000 0.500
0.000 0.500 0.500
0.500 0.249 0.200
0.500 0.751 0.800
0.000 0.298 0.811
0.000 0.702 0.189
```

Summary:
calculated density = 6.21 g/cm3
formation energy (no corrections) = -1251.9 meV/atom
raw total energy = -5.570 eV per atom

***

15.
A geometry-optimized AcBeGePt6 structure, computed with GGA-PBE.

Geometry as POSCAR:
```
AcBeGePt6
1.0
7.823 0.000 0.000
0.000 7.999 0.000
-3.911 -4.000 5.709
Ac Be Ge Pt
2 2 2 12
Direct
0.848 0.598 0.697
0.152 0.402 0.303
0.500 0.500 0.000
0.500 0.000 0.000
0.500 0.000 0.500
0.000 0.000 0.500
0.409 0.659 0.818
0.880 0.130 0.759
0.848 0.106 0.237
0.389 0.631 0.237
0.389 0.106 0.237
0.848 0.631 0.237
0.591 0.341 0.182
0.120 0.870 0.241
0.152 0.894 0.763
0.611 0.369 0.763
0.611 0.894 0.763
0.152 0.369 0.763
```

Summary:
calculated density = 13.75 g/cm3
E_form = -0.482 eV per atom
raw total energy = -5.893 eV per atom

***

16.
A geometry-optimized Mg4Ag3Pd2 structure, computed with GGA-PBE.

Geometry as POSCAR:
```
Mg4Ag3Pd2
1.0
4.575 0.004 -0.003
2.290 3.946 0.139
-0.009 -0.352 8.671
Mg Ag Pd
4 3 2
Direct
0.667 0.666 0.891
0.000 0.001 0.322
0.000 0.999 0.678
0.333 0.334 0.109
0.333 0.334 0.442
0.000 0.000 0.000
0.667 0.666 0.558
0.333 0.333 0.783
0.667 0.667 0.217
```

Summary:
calculated density = 6.72 g/cm3
E_form = -0.401 eV per atom
raw total energy = -3.214 eV per atom

***

17.
A geometry-optimized LaHoPuCd structure, computed with GGA-PBE.

Geometry as POSCAR:
```
LaHoPuCd
1.0
-1.773 -5.174 0.488
-0.373 -3.205 -4.443
3.500 -4.177 -0.674
Cd La Ho Pu
1 1 1 1
Direct
0.750 0.750 0.750
0.000 0.000 0.000
0.500 0.500 0.500
0.250 0.250 0.250
```

Summary:
calculated density = 9.36 g/cm3
E_form = 0.064 eV per atom
raw total energy = -6.124 eV per atom

***

18.
A geometry-optimized GeTeRh2S structure, computed with GGA-PBE.

Geometry as POSCAR:
```
GeTeRh2S
1.0
-1.222 -2.606 -3.379
-2.781 -2.793 3.160
-3.498 2.625 -0.759
Ge Te Rh S
1 1 2 1
Direct
0.000 0.500 0.000
0.500 0.500 0.500
0.000 0.000 0.500
0.500 0.000 0.000
0.000 0.000 0.000
```

Summary:
calculated density = 7.31 g/cm3
formation energy (no corrections) = 266.3 meV/atom
raw total energy = -5.052 eV per atom

***

19.
A geometry-optimized SrCoSb2 structure, computed with GGA-PBE.

Geometry as POSCAR:
```
SrCoSb2
1.0
5.885 0.205 -0.118
4.312 4.009 -0.118
2.152 0.889 4.890
Co Sb Sr
1 2 1
Direct
0.689 0.689 0.973
0.108 0.108 0.811
0.243 0.243 0.192
0.459 0.459 0.524
```

Summary:
calculated density = 5.77 g/cm3
formation energy (no corrections) = -239.8 meV/atom
raw total energy = -4.498 eV per atom

***

20.
A geometry-optimized Sr3CdPt structure, computed with GGA-PBE.

Geometry as POSCAR:
```
Sr3CdPt
1.0
4.405 -0.001 -0.001
0.002 9.611 -0.029
0.003 3.314 9.028
Sr Cd Pt
6 2 2
Direct
0.864 0.375 0.813
0.864 0.013 0.680
0.863 0.627 0.066
0.363 0.017 0.069
0.863 0.761 0.427
0.363 0.371 0.424
0.363 0.694 0.747
0.863 0.194 0.247
0.363 0.694 0.246
0.364 0.194 0.746
```

Summary:
energy above the most stable polymorph in this dataset = 15 kJ/mol of formula units
calculated density = 4.95 g/cm3
E_form = -0.478 eV per atom
raw total energy = -2.878 eV per atom